PBE-GGA RbGeTe2Se4, relaxed; ΔE_f (raw) = -338 meV/atom
1.0
-3.8011 4.0909 4.4817
3.8011 -4.0909 4.4817
3.8011 4.0909 -4.4817
Rb Ge Te Se
1 1 2 4
Cartesian
0.0000 0.0000 0.0000
0.0000 0.0000 4.4817
3.8011 0.0000 3.0967
0.0000 4.0909 1.3850
2.4321 2.6667 -1.3827
1.3689 -1.4242 5.8644
1.3689 1.4242 3.0990
2.4321 5.5150 1.3827


PBE-GGA CsLiMg3, relaxed; energy of formation = 101.93 kJ/mol of atoms
1.0
6.8177 0.0000 0.0000
0.0000 6.8177 0.0000
0.0000 0.0000 6.8177
Cs Li Mg
1 1 3
Cartesian
0.0000 0.0000 0.0000
3.4089 3.4089 3.4089
0.0000 0.0000 3.4089
0.0000 3.4089 0.0000
3.4089 0.0000 0.0000


PBE-GGA Ba2MgCd4In3, relaxed; energy of formation = -30.11 kJ/mol of atoms
1.0
4.8723 0.0000 0.0000
0.0000 4.8723 0.0000
0.0000 0.0000 12.4993
Ba Mg Cd In
2 1 4 3
Cartesian
0.0000 2.4361 3.0666
2.4361 0.0000 9.4327
0.0000 0.0000 6.2496
0.0000 0.0000 0.0000
0.0000 2.4361 7.9236
2.4361 0.0000 4.5757
2.4361 2.4361 0.0000
0.0000 2.4361 10.8210
2.4361 0.0000 1.6783
2.4361 2.4361 6.2496


PBE-GGA HfNb3Tl2O12, relaxed; ΔE_f (raw) = -2026 meV/atom
1.0
3.8021 2.1952 6.2431
-3.8021 2.1952 6.2431
0.0000 -4.3903 6.2431
Hf Nb Tl O
1 3 2 12
Cartesian
0.0000 0.0000 0.0000
-3.8021 0.0000 9.3647
-1.9011 1.0976 3.1216
1.9011 1.0976 3.1216
0.0000 0.0000 6.2443
0.0000 0.0000 12.4852
-2.4117 -1.3924 8.9994
0.0000 -2.6785 5.0633
-2.3196 1.3392 5.0633
0.0000 -2.7847 9.7301
-2.4117 1.3924 9.7301
-2.3197 -1.3392 13.6661
2.3196 1.3392 5.0633
2.4117 -1.3924 8.9994
0.0000 2.7847 8.9994
2.3197 -1.3393 13.6662
0.0000 2.6785 13.6662
2.4117 1.3924 9.7301


PBE-GGA NaLi3Sn, relaxed; energy of formation = -25.61 kJ/mol of atoms
1.0
4.9582 0.0000 0.0000
0.0000 4.9699 0.0000
-2.4486 0.0000 8.2413
Na Li Sn
2 6 2
Cartesian
0.0000 0.0000 0.0000
0.0149 2.4849 5.1330
-0.0028 2.4849 1.6138
0.0287 0.0000 3.5154
0.0285 0.0000 6.7237
2.4904 0.0000 1.8724
2.4893 2.4849 3.2561
2.4972 2.4849 6.6515
2.4731 2.4849 0.2688
2.5079 0.0000 4.8619


PBE-GGA Rb2Ga3AgSn4, relaxed; energy of formation = -12.09 kJ/mol of atoms
1.0
4.9381 0.0000 0.0000
0.0000 4.9381 0.0000
0.0000 0.0000 11.6541
Rb Ga Ag Sn
2 3 1 4
Cartesian
0.0000 2.4690 2.8546
2.4690 0.0000 8.7995
0.0000 0.0000 0.0000
0.0000 2.4690 7.3969
2.4690 0.0000 4.2572
2.4690 2.4690 0.0000
0.0000 0.0000 5.8270
0.0000 2.4690 10.1887
2.4690 0.0000 1.4654
2.4690 2.4690 5.8270


no.,VASP energy (eV/atom),D(E_F) (states/eV/atom)
1,-3.564,0.71
2,-0.454,0.74
3,-2.044,0.56
4,-7.826,0.75
5,-2.478,0.29
6,-3.113,0.33